Record 1
DFT (GGA-PBE) results for a relaxed GeSN2 crystal.

formation energy from raw total energies = 0.6508 eV/atom
total energy = -0.4188 Ry per atom
energy above the lowest structure with this stoichiometry = 0.274 eV per formula unit

```
data_GeSN2
_symmetry_space_group_name_H-M 'P 1'
_symmetry_Int_Tables_number 1
_symmetry_space_group_name_Hall 'P 1'
_cell_length_a 6.071
_cell_length_b 6.071
_cell_length_c 6.071
_cell_angle_alpha 28.67
_cell_angle_beta 28.67
_cell_angle_gamma 28.67
loop_
_atom_site_label
_atom_site_fract_x
_atom_site_fract_y
_atom_site_fract_z
N1 0.894 0.894 0.894
N2 0.106 0.106 0.106
S1 0.000 0.000 0.000
Ge1 0.500 0.500 0.500
```


Record 2
DFT (GGA-PBE) results for a relaxed GeSbS2N crystal.

formation energy from raw total energies = 1.5867 eV/atom
total energy = -0.2556 Ry per atom
energy above the lowest structure with this stoichiometry = 5.132 eV per formula unit

```
data_GeSbS2N
_symmetry_space_group_name_H-M 'P 1'
_symmetry_Int_Tables_number 1
_symmetry_space_group_name_Hall 'P 1'
_cell_length_a 5.070
_cell_length_b 5.510
_cell_length_c 5.070
_cell_angle_alpha 90.00
_cell_angle_beta 90.00
_cell_angle_gamma 90.00
loop_
_atom_site_label
_atom_site_fract_x
_atom_site_fract_y
_atom_site_fract_z
Ge1 0.000 0.500 0.000
S1 0.500 0.000 0.000
S2 0.000 0.000 0.500
N1 0.500 0.500 0.500
Sb1 0.000 0.000 0.000
```


Record 3
DFT (GGA-PBE) results for a relaxed GeSbS2N crystal.

formation energy from raw total energies = 0.5603 eV/atom
total energy = -0.3310 Ry per atom
energy above the lowest structure with this stoichiometry = 0.000 eV per formula unit

```
data_GeSbS2N
_symmetry_space_group_name_H-M 'P 1'
_symmetry_Int_Tables_number 1
_symmetry_space_group_name_Hall 'P 1'
_cell_length_a 4.968
_cell_length_b 4.968
_cell_length_c 3.585
_cell_angle_alpha 90.00
_cell_angle_beta 90.00
_cell_angle_gamma 90.00
loop_
_atom_site_label
_atom_site_fract_x
_atom_site_fract_y
_atom_site_fract_z
S1 0.500 0.000 0.000
S2 0.000 0.500 0.000
N1 0.000 0.000 0.500
Sb1 0.500 0.500 0.500
Ge1 0.000 0.000 0.000
```